1.
Density functional theory data (meta-GGA SCAN) for a crystal of BaAg2S2 relaxed with PBEsol.

Computed properties:
- formation energy without anion corrections (eV/atom) = -0.990
- raw total energy (eV/atom) = -25.298

a b c (Å): 4.039 4.039 13.275
angles (deg): 90.00 90.00 90.00
Space group I4/mmm (No. 139)
Asymmetric unit:
1 Ba 0.000 0.000 0.000 (multiplicity 2)
2 Ag 0.000 0.500 0.250 (multiplicity 4)
3 S 0.000 0.000 0.377 (multiplicity 4)

***

2.
Density functional theory data (meta-GGA SCAN) for a crystal of BiP2SeO relaxed with PBEsol.

Computed properties:
- D(E_F) (states/eV per atom) = 0.577
- formation energy without anion corrections (eV/atom) = 0.397
- raw total energy (eV/atom) = -24.740

a b c (Å): 4.893 4.893 3.777
angles (deg): 90.00 90.00 90.00
Space group P4/mmm (No. 123)
Asymmetric unit:
1 Bi 0.000 0.000 0.000 (multiplicity 1)
2 P 0.000 0.500 0.500 (multiplicity 2)
3 Se 0.500 0.500 0.500 (multiplicity 1)
4 O 0.500 0.500 0.000 (multiplicity 1)

***

3.
Density functional theory data (meta-GGA SCAN) for a crystal of MnSb2Au relaxed with PBEsol.

Computed properties:
- D(E_F) (states/eV per atom) = 0.502
- relative energy among the computed polymorphs (meV per atom) = 202
- formation energy without anion corrections (eV/atom) = 0.063
- raw total energy (eV/atom) = -40.420

a b c (Å): 4.061 4.061 9.936
angles (deg): 90.00 90.00 90.00
Space group I-4m2 (No. 119)
Asymmetric unit:
1 Mn 0.000 0.000 0.000 (multiplicity 2)
2 Sb 0.000 0.000 0.500 (multiplicity 2)
3 Sb 0.000 0.500 0.250 (multiplicity 2)
4 Au 0.000 0.500 0.750 (multiplicity 2)

***

4.
Density functional theory data (meta-GGA SCAN) for a crystal of TcRuRh2 relaxed with PBEsol.

Computed properties:
- D(E_F) (states/eV per atom) = 1.008
- relative energy among the computed polymorphs (meV per atom) = 0
- raw total energy (eV/atom) = -34.384
- energy relative to the elements (eV per atom) = -0.03

a b c (Å): 2.669 2.669 7.589
angles (deg): 90.00 90.00 90.00
Space group P4mm (No. 99)
Asymmetric unit:
1 Tc 0.000 0.000 0.000 (multiplicity 1)
2 Ru 0.500 0.500 0.751 (multiplicity 1)
3 Rh 0.000 0.000 0.504 (multiplicity 1)
4 Rh 0.500 0.500 0.247 (multiplicity 1)

***

5.
Density functional theory data (meta-GGA SCAN) for a crystal of Mn3OF6 relaxed with PBEsol.

Computed properties:
- D(E_F) (states/eV per atom) = 0.274
- formation energy without anion corrections (eV/atom) = -2.532
- raw total energy (eV/atom) = -10.756

a b c (Å): 5.464 6.846 7.850
angles (deg): 77.27 77.68 66.71
Space group P-1 (No. 2)
Asymmetric unit:
1 Mn 0.115 0.350 0.263 (multiplicity 2)
2 Mn 0.215 0.120 0.920 (multiplicity 2)
3 Mn 0.242 0.802 0.408 (multiplicity 2)
4 O 0.033 0.557 0.053 (multiplicity 2)
5 F 0.078 0.955 0.156 (multiplicity 2)
6 F 0.188 0.099 0.457 (multiplicity 2)
7 F 0.202 0.548 0.358 (multiplicity 2)
8 F 0.241 0.678 0.666 (multiplicity 2)
9 F 0.388 0.236 0.700 (multiplicity 2)
10 F 0.433 0.158 0.101 (multiplicity 2)

***

6.
Density functional theory data (meta-GGA SCAN) for a crystal of BeNi2Rh relaxed with PBEsol.

Computed properties:
- D(E_F) (states/eV per atom) = 0.716
- raw total energy (eV/atom) = -17.807
- energy relative to the elements (eV per atom) = -0.19

a b c (Å): 2.672 4.034 7.857
angles (deg): 90.00 90.00 90.00
Space group Imm2 (No. 44)
Asymmetric unit:
1 Be 0.000 0.000 0.000 (multiplicity 2)
2 Ni 0.000 0.000 0.488 (multiplicity 2)
3 Ni 0.000 0.500 0.717 (multiplicity 2)
4 Rh 0.000 0.500 0.266 (multiplicity 2)

***

7.
Density functional theory data (meta-GGA SCAN) for a crystal of ZnRePb3 relaxed with PBEsol.

Computed properties:
- D(E_F) (states/eV per atom) = 0.648
- raw total energy (eV/atom) = -61.787
- energy relative to the elements (eV per atom) = 0.60

a b c (Å): 5.277 5.277 5.277
angles (deg): 90.00 90.00 90.00
Space group Pm-3m (No. 221)
Asymmetric unit:
1 Zn 0.000 0.000 0.000 (multiplicity 1)
2 Re 0.500 0.500 0.500 (multiplicity 1)
3 Pb 0.000 0.500 0.500 (multiplicity 3)

***

8.
Density functional theory data (meta-GGA SCAN) for a crystal of TiCdP2O relaxed with PBEsol.

Computed properties:
- D(E_F) (states/eV per atom) = 0.647
- formation energy without anion corrections (eV/atom) = 0.665
- raw total energy (eV/atom) = -14.030

a b c (Å): 4.824 4.824 3.929
angles (deg): 90.00 90.00 90.00
Space group P4/mmm (No. 123)
Asymmetric unit:
1 Ti 0.000 0.000 0.000 (multiplicity 1)
2 Cd 0.500 0.500 0.500 (multiplicity 1)
3 P 0.000 0.500 0.500 (multiplicity 2)
4 O 0.500 0.500 0.000 (multiplicity 1)

***

9.
Density functional theory data (meta-GGA SCAN) for a crystal of KBa4Ca relaxed with PBEsol.

Computed properties:
- D(E_F) (states/eV per atom) = 1.463
- raw total energy (eV/atom) = -29.151
- energy relative to the elements (eV per atom) = 0.21

a b c (Å): 11.321 11.321 11.321
angles (deg): 90.00 90.00 90.00
Space group F-43m (No. 216)
Asymmetric unit:
1 K 0.000 0.000 0.000 (multiplicity 4)
2 Ba 0.124 0.124 0.376 (multiplicity 16)
3 Ca 0.250 0.250 0.750 (multiplicity 4)

***

10.
Density functional theory data (meta-GGA SCAN) for a crystal of ZrTePt2 relaxed with PBEsol.

Computed properties:
- D(E_F) (states/eV per atom) = 0.528
- formation energy without anion corrections (eV/atom) = -0.577
- raw total energy (eV/atom) = -52.661

a b c (Å): 3.501 3.501 6.121
angles (deg): 90.00 90.00 90.00
Space group P4mm (No. 99)
Asymmetric unit:
1 Zr 0.000 0.000 0.000 (multiplicity 1)
2 Te 0.500 0.500 0.679 (multiplicity 1)
3 Pt 0.000 0.000 0.445 (multiplicity 1)
4 Pt 0.500 0.500 0.211 (multiplicity 1)

***

11.
Density functional theory data (meta-GGA SCAN) for a crystal of ScHgAs3 relaxed with PBEsol.

Computed properties:
- D(E_F) (states/eV per atom) = 0.881
- raw total energy (eV/atom) = -27.913
- energy relative to the elements (eV per atom) = 0.68

a b c (Å): 5.045 5.045 5.045
angles (deg): 90.00 90.00 90.00
Space group Pm-3m (No. 221)
Asymmetric unit:
1 Sc 0.000 0.000 0.000 (multiplicity 1)
2 Hg 0.500 0.500 0.500 (multiplicity 1)
3 As 0.000 0.500 0.500 (multiplicity 3)

***

12.
Density functional theory data (meta-GGA SCAN) for a crystal of Mg2TlAg relaxed with PBEsol.

Computed properties:
- D(E_F) (states/eV per atom) = 0.359
- raw total energy (eV/atom) = -28.526
- energy relative to the elements (eV per atom) = -0.11

a b c (Å): 4.272 4.272 9.028
angles (deg): 90.00 90.00 90.00
Space group I-4m2 (No. 119)
Asymmetric unit:
1 Mg 0.000 0.000 0.000 (multiplicity 2)
2 Mg 0.000 0.500 0.250 (multiplicity 2)
3 Tl 0.000 0.000 0.500 (multiplicity 2)
4 Ag 0.000 0.500 0.750 (multiplicity 2)